(1)
Material: Ca3Sn4Pd8
Method: DFT, PBE
State: optimized geometry

Results
Spin magnetization = 0.00 μB/cell
E_form = -0.686 eV per atom
Uncorrected energy = -590.80 eV/cell
ρ = 8.17 g/cm³
Calculated volume = 294 Å³/f.u.

Unit cell a=13.301 b=13.301 c=13.301 alpha=90.00 beta=90.00 gamma=90.00
Space group Fm-3m (No. 225)
Unique sites:
Ca: 0.000 0.000 0.229 [24 per cell]
Sn: 0.000 0.000 0.000 [4 per cell]
Sn: 0.000 0.000 0.500 [4 per cell]
Sn: 0.000 0.250 0.250 [24 per cell]
Pd: 0.121 0.121 0.379 [32 per cell]
Pd: 0.168 0.168 0.168 [32 per cell]

***

(2)
Material: La4ReBr5
Method: DFT, PBE
State: optimized geometry

Results
Spin magnetization = 0.00 μB/cell
Uncorrected energy = -108.43 eV/cell
ρ = 5.23 g/cm³
Calculated volume = 362 Å³/f.u.
Formation energy from raw total energies = -1.37 eV per atom

Unit cell a=19.027 b=4.340 c=9.122 alpha=90.00 beta=105.97 gamma=90.00
Space group C2/m (No. 12)
Unique sites:
La: 0.002 0.000 0.228 [4 per cell]
La: 0.145 0.500 0.082 [4 per cell]
Re: 0.000 0.500 0.000 [2 per cell]
Br: 0.000 0.500 0.500 [2 per cell]
Br: 0.169 0.000 0.852 [4 per cell]
Br: 0.170 0.000 0.331 [4 per cell]

***

(3)
Material: Ce3Zn2Ga
Method: DFT, PBE
State: optimized geometry

Results
Spin magnetization = 0.00 μB/cell
E_form = -0.299 eV per atom
Uncorrected energy = -50.34 eV/cell
ρ = 7.82 g/cm³
Calculated volume = 132 Å³/f.u.

Unit cell a=4.440 b=13.325 c=4.455 alpha=90.00 beta=90.00 gamma=90.00
Space group Cmmm (No. 65)
Unique sites:
Ce: 0.000 0.000 0.000 [2 per cell]
Ce: 0.000 0.331 0.000 [4 per cell]
Zn: 0.000 0.165 0.500 [4 per cell]
Ga: 0.000 0.500 0.500 [2 per cell]

***

(4)
Material: Y2ErZr
Method: DFT, PBE
State: optimized geometry

Results
Spin magnetization = 0.00 μB/cell
E_form = 0.100 eV per atom
Uncorrected energy = -25.64 eV/cell
ρ = 6.27 g/cm³
Calculated volume = 115 Å³/f.u.

Unit cell a=4.871 b=4.871 c=4.867 alpha=90.00 beta=90.00 gamma=90.00
Space group P4/mmm (No. 123)
Unique sites:
Y: 0.000 0.500 0.000 [2 per cell]
Er: 0.000 0.000 0.500 [1 per cell]
Zr: 0.500 0.500 0.500 [1 per cell]

***

(5)
Material: Li3Er2In4
Method: DFT, PBE
State: optimized geometry

Results
Spin magnetization = 0.00 μB/cell
E_form = -0.310 eV per atom
Uncorrected energy = -114.44 eV/cell
ρ = 6.72 g/cm³
Calculated volume = 201 Å³/f.u.

Unit cell a=6.159 b=16.349 c=8.000 alpha=90.00 beta=90.00 gamma=90.00
Space group Cmce (No. 64)
Unique sites:
Li: 0.000 0.000 0.000 [4 per cell]
Li: 0.250 0.235 0.250 [8 per cell]
Er: 0.000 0.104 0.597 [8 per cell]
In: 0.000 0.171 0.980 [8 per cell]
In: 0.250 0.061 0.250 [8 per cell]

***

(6)
Material: LaPbS2
Method: DFT, PBE
State: optimized geometry

Results
Spin magnetization = 0.00 μB/cell
Uncorrected energy = -84.09 eV/cell
ρ = 4.80 g/cm³
Calculated volume = 142 Å³/f.u.
Formation energy from raw total energies = -1.03 eV per atom

Unit cell a=6.250 b=6.250 c=14.534 alpha=90.00 beta=90.00 gamma=90.00
Space group I-42d (No. 122)
Unique sites:
La: 0.000 0.000 0.000 [4 per cell]
Pb: 0.000 0.000 0.500 [4 per cell]
S: 0.226 0.250 0.125 [8 per cell]

***

(7)
Material: ReHgW2
Method: DFT, PBE
State: optimized geometry

Results
Spin magnetization = 0.00 μB/cell
E_form = 0.666 eV per atom
Uncorrected energy = -71.99 eV/cell
ρ = 18.61 g/cm³
Calculated volume = 67 Å³/f.u.

Unit cell a=3.269 b=4.508 c=9.135 alpha=90.00 beta=90.00 gamma=90.00
Space group Immm (No. 71)
Unique sites:
Re: 0.000 0.000 0.000 [2 per cell]
Hg: 0.000 0.000 0.500 [2 per cell]
W: 0.000 0.500 0.267 [4 per cell]

***

(8)
Material: Ca2AcNdAg4
Method: DFT, PBE
State: optimized geometry

Results
Spin magnetization = 0.00 μB/cell
E_form = -0.296 eV per atom
Uncorrected energy = -79.96 eV/cell
ρ = 6.75 g/cm³
Calculated volume = 217 Å³/f.u.

Unit cell a=5.3438 b=5.3438 c=26.3537 alpha=90.00 beta=90.00 gamma=120.00
Space group R-3m (No. 166, hexagonal axes)
Unique sites:
Ca: 0.0000 0.0000 0.2478 [6 per cell]
Ac: 0.0000 0.0000 0.0000 [3 per cell]
Nd: 0.0000 0.0000 0.5000 [3 per cell]
Ag: 0.0000 0.0000 0.1274 [6 per cell]
Ag: 0.0000 0.0000 0.3790 [6 per cell]